--- one ---
Compound: Si3Ag
Source: Alexandria
Functional: GGA-PBEsol
Structure: relaxed Values from VASP.

Cell and atoms, written as Quantum ESPRESSO input:
```
&SYSTEM
  ibrav = 0, nat = 8, ntyp = 2
/
ATOMIC_SPECIES
Ag 107.87 Ag.upf
Si 28.09 Si.upf
ATOMIC_POSITIONS angstrom
Ag -3.719 2.573 -0.126
Si -3.888 0.709 1.980
Si -5.645 0.392 -3.216
Si -1.740 1.946 2.599
Si -1.426 0.981 0.254
Ag -3.665 -0.235 -0.491
Si -3.496 1.629 -2.597
Si -5.958 1.358 -0.871
CELL_PARAMETERS angstrom
-2.932 2.830 -3.738
-4.334 -2.738 -1.839
-0.118 2.246 4.960
```

=====

--- two ---
Compound: Si3Ag
Source: Alexandria
Functional: GGA-PBEsol
Structure: relaxed Values from VASP.

Cell and atoms, written as Quantum ESPRESSO input:
```
&SYSTEM
  ibrav = 0, nat = 4, ntyp = 2
/
ATOMIC_SPECIES
Si 28.09 Si.upf
Ag 107.87 Ag.upf
ATOMIC_POSITIONS angstrom
Si 1.132 -0.309 -2.490
Ag 0.674 -2.898 -1.672
Si 0.000 0.000 0.000
Si -1.761 -1.671 -1.297
CELL_PARAMETERS angstrom
-1.303 0.917 -2.115
3.568 -1.536 -2.864
-2.219 -4.259 -0.480
```

=====

Least stable of them? two.

=====

--- one ---
Compound: Si3Ag
Source: Alexandria
Functional: GGA-PBEsol
Structure: relaxed Values from VASP.

Cell and atoms, written as Quantum ESPRESSO input:
```
&SYSTEM
  ibrav = 0, nat = 4, ntyp = 2
/
ATOMIC_SPECIES
Si 28.09 Si.upf
Ag 107.87 Ag.upf
ATOMIC_POSITIONS angstrom
Si -6.661 -1.419 0.468
Ag 0.000 0.000 0.000
Si -2.481 -1.314 -0.468
Si -4.383 -0.109 0.981
CELL_PARAMETERS angstrom
-0.517 1.730 -2.116
-0.024 -2.751 -0.414
-8.765 -0.219 1.963
```

=====

--- two ---
Compound: Si3Ag
Source: Alexandria
Functional: GGA-PBEsol
Structure: relaxed Values from VASP.

Cell and atoms, written as Quantum ESPRESSO input:
```
&SYSTEM
  ibrav = 0, nat = 4, ntyp = 2
/
ATOMIC_SPECIES
Ag 107.87 Ag.upf
Si 28.09 Si.upf
ATOMIC_POSITIONS angstrom
Ag 0.000 0.000 0.000
Si 1.357 0.000 2.752
Si 0.000 2.301 2.230
Si 1.357 2.301 0.000
CELL_PARAMETERS angstrom
2.714 0.000 0.000
0.000 4.601 0.000
-1.357 -2.301 4.983
```

=====

--- three ---
Compound: Si3Ag
Source: Alexandria
Functional: GGA-PBEsol
Structure: relaxed Values from VASP.

Cell and atoms, written as Quantum ESPRESSO input:
```
&SYSTEM
  ibrav = 0, nat = 4, ntyp = 2
/
ATOMIC_SPECIES
Si 28.09 Si.upf
Ag 107.87 Ag.upf
ATOMIC_POSITIONS angstrom
Si -0.357 -1.238 2.612
Si -2.746 -0.996 3.899
Ag 0.000 0.000 0.000
Si -2.417 0.146 1.488
CELL_PARAMETERS angstrom
-0.752 2.405 1.037
-3.698 -0.780 -0.874
-0.713 -2.476 5.225
```

=====

Least stable of them? three.

=====

--- one ---
Compound: SiTcAg
Source: Alexandria
Functional: GGA-PBEsol
Structure: relaxed Values from VASP.

Cell and atoms, written as Quantum ESPRESSO input:
```
&SYSTEM
  ibrav = 0, nat = 3, ntyp = 3
/
ATOMIC_SPECIES
Si 28.09 Si.upf
Ag 107.87 Ag.upf
Tc 98.00 Tc.upf
ATOMIC_POSITIONS angstrom
Si -1.299 -4.729 -1.429
Ag 0.000 0.000 0.000
Tc -0.650 -2.364 -0.715
CELL_PARAMETERS angstrom
-2.510 -2.245 -2.461
1.385 -3.540 -1.716
-1.473 -3.672 1.319
```

=====

--- two ---
Compound: SiTcAg
Source: Alexandria
Functional: GGA-PBEsol
Structure: relaxed Values from VASP.

Cell and atoms, written as Quantum ESPRESSO input:
```
&SYSTEM
  ibrav = 0, nat = 3, ntyp = 3
/
ATOMIC_SPECIES
Tc 98.00 Tc.upf
Ag 107.87 Ag.upf
Si 28.09 Si.upf
ATOMIC_POSITIONS angstrom
Tc -2.755 0.654 -0.254
Ag -4.632 1.832 1.617
Si -1.961 1.230 1.954
CELL_PARAMETERS angstrom
-1.010 1.829 -2.165
-2.059 -2.053 -0.774
-1.605 2.081 4.598
```

=====

Least stable of them? one.